Entry 1:
## Zn3Cd (GGA-PBE)

Data for an optimized crystal structure of Zn3Cd.

Computed properties:
As for the total magnetic moment: 0.000 Bohr magnetons per cell. For the density of states at the Fermi level, the calculation gives 1.0 states/eV/cell. The calculation puts the calculated total energy at -1.114 eV/atom. Its formation energy from the elements is 0.070 eV per atom.

abc: 4.6106 4.6106 3.4828
angles: 90.00 90.00 108.12
Last column: nearest neighbours and their distance in Å.
Element x y z (fractional)
Cd: 0.0000 0.0000 0.0000  10 Zn 2.71-2.89
Zn: 0.5000 0.0000 0.5000  6 Zn 2.71-2.89, 4 Cd 2.89
Zn: 0.0000 0.5000 0.5000  6 Zn 2.71-2.89, 4 Cd 2.89
Zn: 0.5000 0.5000 0.0000  2 Cd 2.71, 8 Zn 2.89

***

Entry 2:
## Zn3Cd (GGA-PBE)

Data for an optimized crystal structure of Zn3Cd.

Computed properties:
As for the total magnetic moment: 0.000 Bohr magnetons per cell. For the density of states at the Fermi level, the calculation gives 1.3 states/eV/cell. The calculation puts the calculated total energy at -1.106 eV/atom. Its formation energy from the elements is 0.078 eV per atom.

abc: 2.8958 2.8958 9.5095
angles: 90.00 90.00 120.00
Last column: nearest neighbours and their distance in Å.
Element x y z (fractional)
Zn: 0.3333 0.6667 0.7298  9 Zn 2.75-2.90, 3 Cd 3.07
Zn: 0.3333 0.6667 0.2702  9 Zn 2.75-2.90, 3 Cd 3.07
Zn: 0.0000 0.0000 0.5000  12 Zn 2.75-2.90
Cd: 0.0000 0.0000 0.0000  6 Cd 2.90, 6 Zn 3.07

***

Which formula does entry 1 have?
Zn3Cd

***

Which value of calculated total energy does entry 1 give?
-1.114 eV/atom